w:
## YZrBr3 (PBE)

Data for an optimized crystal structure of YZrBr3.

The structure belongs to space group Pm-3m (No. 221); the cell edges are 5.558, 5.558 and 5.558 Å and the angles 90.00°, 90.00° and 90.00°. Symmetry generates all atoms from Y at (0.000, 0.000, 0.000), Zr at (0.500, 0.500, 0.500) and Br at (0.000, 0.000, 0.500).

***

x:
## YZrBr3 (PBE)

Data for an optimized crystal structure of YZrBr3.

The structure belongs to space group Pm-3m (No. 221); the cell edges are 5.333, 5.333 and 5.333 Å and the angles 90.00°, 90.00° and 90.00°. Symmetry generates all atoms from Y at (0.000, 0.000, 0.000), Zr at (0.500, 0.500, 0.500) and Br at (0.000, 0.500, 0.500).

***

Which of them is most stable, and which least? Most stable: x; least stable: w.

***

w:
## Zn3Br (PBE)

Data for an optimized crystal structure of Zn3Br.

The structure belongs to space group Pm-3m (No. 221); the cell edges are 4.382, 4.382 and 4.382 Å and the angles 90.00°, 90.00° and 90.00°. Symmetry generates all atoms from Zn at (0.000, 0.000, 0.500) and Br at (0.500, 0.500, 0.500).

***

x:
## Zn3Br (PBE)

Data for an optimized crystal structure of Zn3Br.

The structure belongs to space group Cmmm (No. 65); the cell edges are 5.304, 8.577 and 3.810 Å and the angles 90.00°, 90.00° and 90.00°. Symmetry generates all atoms from Zn at (0.000, 0.000, 0.000), Zn at (0.250, 0.250, 0.500) and Br at (0.000, 0.500, 0.000).

***

Which of them is most stable, and which least? Most stable: x; least stable: w.

***

w:
## Zn3Br (PBE)

Data for an optimized crystal structure of Zn3Br.

The structure belongs to space group Immm (No. 71); the cell edges are 3.896, 3.920 and 11.207 Å and the angles 90.00°, 90.00° and 90.00°. Symmetry generates all atoms from Zn at (0.000, 0.000, 0.000), Zn at (0.000, 0.000, 0.239) and Br at (0.000, 0.000, 0.500).

***

x:
## Zn3Br (PBE)

Data for an optimized crystal structure of Zn3Br.

The structure belongs to space group P4/mmm (No. 123); the cell edges are 4.901, 4.901 and 3.478 Å and the angles 90.00°, 90.00° and 90.00°. Symmetry generates all atoms from Zn at (0.000, 0.000, 0.000), Zn at (0.000, 0.500, 0.500) and Br at (0.500, 0.500, 0.000).

***

Which of them is most stable, and which least? Most stable: w; least stable: x.

***

w:
## Zn3Br (PBE)

Data for an optimized crystal structure of Zn3Br.

The structure belongs to space group P4/mmm (No. 123); the cell edges are 3.232, 3.232 and 7.424 Å and the angles 90.00°, 90.00° and 90.00°. Symmetry generates all atoms from Zn at (0.000, 0.000, 0.000), Zn at (0.500, 0.500, 0.222) and Br at (0.000, 0.000, 0.500).

***

x:
## Zn3Br (PBE)

Data for an optimized crystal structure of Zn3Br.

The structure belongs to space group Cmcm (No. 63); the cell edges are 6.703, 16.845 and 4.391 Å and the angles 90.00°, 90.00° and 90.00°. Symmetry generates all atoms from Zn at (0.000, 0.198, 0.250), Zn at (0.202, 0.206, 0.750) and Br at (0.000, 0.390, 0.250).

***

y:
## Zn3Br (PBE)

Data for an optimized crystal structure of Zn3Br.

The structure belongs to space group P4mm (No. 99); the cell edges are 3.662, 3.662 and 6.868 Å and the angles 90.00°, 90.00° and 90.00°. Symmetry generates all atoms from Zn at (0.000, 0.000, 0.000), Zn at (0.000, 0.500, 0.691) and Br at (0.500, 0.500, 0.186).

***

z:
## Zn3Br (PBE)

Data for an optimized crystal structure of Zn3Br.

The structure belongs to space group Immm (No. 71); the cell edges are 3.666, 6.146 and 8.107 Å and the angles 90.00°, 90.00° and 90.00°. Symmetry generates all atoms from Zn at (0.000, 0.000, 0.000), Zn at (0.000, 0.500, 0.271) and Br at (0.000, 0.000, 0.500).

***

Which of them is most stable, and which least? Most stable: x; least stable: w.

***

w:
## Zn3Br (PBE)

Data for an optimized crystal structure of Zn3Br.

The structure belongs to space group R-3m (No. 166, hexagonal axes); the cell edges are 8.8115, 8.8115 and 3.7247 Å and the angles 90.00°, 90.00° and 120.00°. Symmetry generates all atoms from Zn at (0.0000, 0.5000, 0.0000) and Br at (0.0000, 0.0000, 0.0000).

***

x:
## Zn3Br (PBE)

Data for an optimized crystal structure of Zn3Br.

The structure belongs to space group I4/mmm (No. 139); the cell edges are 3.866, 3.866 and 11.721 Å and the angles 90.00°, 90.00° and 90.00°. Symmetry generates all atoms from Zn at (0.000, 0.000, 0.000), Zn at (0.000, 0.500, 0.250) and Br at (0.000, 0.000, 0.500).

***

y:
## Zn3Br (PBE)

Data for an optimized crystal structure of Zn3Br.

The structure belongs to space group Fm-3m (No. 225); the cell edges are 7.060, 7.060 and 7.060 Å and the angles 90.00°, 90.00° and 90.00°. Symmetry generates all atoms from Zn at (0.000, 0.000, 0.000), Zn at (0.250, 0.250, 0.250) and Br at (0.000, 0.000, 0.500).

***

z:
## Zn3Br (PBE)

Data for an optimized crystal structure of Zn3Br.

The structure belongs to space group Pm-3m (No. 221); the cell edges are 6.075, 6.075 and 6.075 Å and the angles 90.00°, 90.00° and 90.00°. Symmetry generates all atoms from Zn at (0.000, 0.000, 0.500) and Br at (0.000, 0.000, 0.000).

***

Which of them is most stable, and which least? Most stable: w; least stable: z.

***

w:
## ZnBr5 (PBE)

Data for an optimized crystal structure of ZnBr5.

The structure belongs to space group Amm2 (No. 38); the cell edges are 8.840, 3.670 and 13.301 Å and the angles 90.00°, 90.00° and 90.00°. Symmetry generates all atoms from Zn at (0.000, 0.000, 0.000), Br at (0.000, 0.000, 0.371), Br at (0.000, 0.000, 0.629), Br at (0.500, 0.000, 0.118), Br at (0.500, 0.000, 0.451) and Br at (0.500, 0.000, 0.784).

***

x:
## ZnBr5 (PBE)

Data for an optimized crystal structure of ZnBr5.

The structure belongs to space group P4/mmm (No. 123); the cell edges are 3.447, 3.447 and 14.423 Å and the angles 90.00°, 90.00° and 90.00°. Symmetry generates all atoms from Zn at (0.000, 0.000, 0.000), Br at (0.000, 0.000, 0.364), Br at (0.500, 0.500, 0.113) and Br at (0.500, 0.500, 0.500).

***

Which of them is most stable, and which least? Most stable: w; least stable: x.

***

w:
## Zn2Br (PBE)

Data for an optimized crystal structure of Zn2Br.

The structure belongs to space group P4/mmm (No. 123); the cell edges are 3.695, 3.695 and 4.984 Å and the angles 90.00°, 90.00° and 90.00°. Symmetry generates all atoms from Zn at (0.000, 0.500, 0.000) and Br at (0.000, 0.000, 0.500).

***

x:
## Zn2Br (PBE)

Data for an optimized crystal structure of Zn2Br.

The structure belongs to space group C2/m (No. 12); the cell edges are 12.297, 3.521 and 7.619 Å and the angles 90.00°, 111.23° and 90.00°. Symmetry generates all atoms from Zn at (0.184, 0.000, 0.370), Zn at (0.212, 0.500, 0.863) and Br at (0.013, 0.500, 0.258).

***

y:
## Zn2Br (PBE)

Data for an optimized crystal structure of Zn2Br.

The structure belongs to space group I4/mmm (No. 139); the cell edges are 3.364, 3.364 and 10.976 Å and the angles 90.00°, 90.00° and 90.00°. Symmetry generates all atoms from Zn at (0.000, 0.000, 0.187) and Br at (0.000, 0.000, 0.500).

***

z:
## Zn2Br (PBE)

Data for an optimized crystal structure of Zn2Br.

The structure belongs to space group I4_1/amd (No. 141, origin choice 2); the cell edges are 5.083, 5.083 and 11.080 Å and the angles 90.00°, 90.00° and 90.00°. Symmetry generates all atoms from Zn at (0.000, 0.250, 0.001) and Br at (0.000, 0.250, 0.375).

***

Which of them is most stable, and which least? Most stable: x; least stable: y.

***

w:
## Zn2Br (PBE)

Data for an optimized crystal structure of Zn2Br.

The structure belongs to space group Cmcm (No. 63); the cell edges are 3.690, 12.076 and 6.367 Å and the angles 90.00°, 90.00° and 90.00°. Symmetry generates all atoms from Zn at (0.000, 0.116, 0.250), Zn at (0.000, 0.238, 0.750) and Br at (0.000, 0.435, 0.250).

***

x:
## Zn2Br (PBE)

Data for an optimized crystal structure of Zn2Br.

The structure belongs to space group P-3m1 (No. 164); the cell edges are 3.7776, 3.7776 and 5.3528 Å and the angles 90.00°, 90.00° and 120.00°. Symmetry generates all atoms from Zn at (0.3333, 0.6667, 0.1313) and Br at (0.0000, 0.0000, 0.5000).

***

Which of them is most stable, and which least? Most stable: x; least stable: w.

***

w:
## Zn2Br (PBE)

Data for an optimized crystal structure of Zn2Br.

The structure belongs to space group P6_3/mmc (No. 194); the cell edges are 5.9356, 5.9356 and 5.1675 Å and the angles 90.00°, 90.00° and 120.00°. Symmetry generates all atoms from Zn at (0.0000, 0.0000, 0.0000), Zn at (0.3333, 0.6667, 0.2500) and Br at (0.3333, 0.6667, 0.7500).

***

x:
## Zn2Br (PBE)

Data for an optimized crystal structure of Zn2Br.

The structure belongs to space group Imma (No. 74); the cell edges are 3.728, 5.743 and 13.556 Å and the angles 90.00°, 90.00° and 90.00°. Symmetry generates all atoms from Zn at (0.000, 0.250, 0.007), Zn at (0.000, 0.250, 0.823) and Br at (0.000, 0.250, 0.363).

***

Which of them is most stable, and which least? Most stable: x; least stable: w.